A plane-wave DFT calculation with GGA-PBE was carried out for a relaxed structure of KAs4P.

Output
D(E_F)	17.3	states/eV/cell
ΔH_f (0 K)	0.3251	eV per atom
size of the total moment	1.5	μB per cell

abc: 8.328 8.328 8.328
angles: 90.00 90.00 90.00
Space group F-43m (No. 216)
Inequivalent atoms, fractional coordinates:
K1 0.000 0.000 0.000 [4 per cell]
As1 0.108 0.108 0.392 [16 per cell]
P1 0.250 0.250 0.750 [4 per cell]